Entry from Alexandria via LeMat-Bulk: crystalline CaRe3Pb at its relaxed geometry (PBEsol).

The structure in extended XYZ format:
```
5
Lattice="4.968 0.000 0.000 0.000 4.968 0.000 0.000 0.000 4.968" Properties=species:S:1:pos:R:3 pbc="T T T"
Ca 0.000 0.000 0.000
Re 0.000 2.484 2.484
Re 2.484 0.000 2.484
Re 2.484 2.484 0.000
Pb 2.484 2.484 2.484
```

The total magnetization comes out at 2.169 μB per formula unit. The calculation puts the formation energy at 2765 meV per atom. The energy relative to the lowest polymorph listed for this composition is 0.0 kJ/mol of atoms.